Below is a relaxed Ba2MnMoO6 crystal, with properties calculated at the GGA+U level.

```
Ba2MnMoO6
1.0
-0.118 -4.744 3.573
3.109 0.016 5.062
-6.699 2.167 7.593
Mo Ba O Mn
2 4 12 2
direct
0.000 0.000 0.000
0.500 0.500 0.500
0.281 0.281 0.157
0.129 0.129 0.613
0.871 0.871 0.387
0.719 0.719 0.843
0.270 0.807 0.116
0.193 0.730 0.884
0.807 0.807 0.116
0.385 0.385 0.382
0.615 0.615 0.618
0.615 0.152 0.618
0.152 0.615 0.618
0.385 0.848 0.382
0.193 0.193 0.884
0.730 0.193 0.884
0.807 0.270 0.116
0.848 0.385 0.382
0.596 0.596 0.212
0.404 0.404 0.788
```

## Properties
Electronic total energy: -7.035 eV per atom
ρ: 5.8 g/cm³
Space group: R-3m, No. 166